The following is a GGA-PBE calculation of crystalline Pm5Tl2Rh at its relaxed geometry, from Alexandria.

The density of states at the Fermi level comes out at 0.841 states/eV/atom. For the total magnetization, the calculation gives 0.00 Bohr magnetons per cell. For the formation energy, the calculation gives -424 meV/atom.

The structure belongs to space group Pbam (No. 55); the cell edges are 7.870, 12.427 and 4.843 Å and the angles 90.00°, 90.00° and 90.00°. The inequivalent atoms are Pm at (0.000, 0.000, 0.000), Pm at (0.133, 0.295, 0.000), Pm at (0.184, 0.574, 0.500), Tl at (0.081, 0.832, 0.500) and Rh at (0.000, 0.500, 0.000).



The following is a GGA-PBE calculation of crystalline Ir4PtRh3 at its relaxed geometry, from Alexandria.

The density of states at the Fermi level comes out at 1.333 states/eV/atom. For the total magnetization, the calculation gives 0.00 Bohr magnetons per cell. For the formation energy, the calculation gives 162 meV/atom.

The structure belongs to space group C2/m (No. 12); the cell edges are 12.580, 2.732 and 8.949 Å and the angles 90.00°, 129.09° and 90.00°. The inequivalent atoms are Ir at (0.125, 0.000, 0.357), Ir at (0.233, 0.000, 0.728), Pt at (0.000, 0.500, 0.000), Rh at (0.000, 0.500, 0.500) and Rh at (0.136, 0.500, 0.872).



The following is a GGA-PBE calculation of crystalline HoHfIn at its relaxed geometry, from Alexandria.

The density of states at the Fermi level comes out at 1.028 states/eV/atom. For the total magnetization, the calculation gives 0.00 Bohr magnetons per cell. For the formation energy, the calculation gives 105 meV/atom.

The structure belongs to space group Fmmm (No. 69); the cell edges are 5.742, 8.726 and 12.406 Å and the angles 90.00°, 90.00° and 90.00°. The inequivalent atoms are Ho at (0.000, 0.178, 0.000), Hf at (0.250, 0.250, 0.250) and In at (0.000, 0.000, 0.381).



The following is a GGA-PBE calculation of crystalline NdSn2Br8 at its relaxed geometry, from Alexandria.

The calculation puts the total DFT energy (no corrections) at -75.392 eV per cell. The density of states at the Fermi level comes out at 0.611 states/eV/atom. For the total magnetization, the calculation gives 0.00 Bohr magnetons per cell.

The structure belongs to space group C2/m (No. 12); the cell edges are 13.092, 9.295 and 8.067 Å and the angles 90.00°, 110.39° and 90.00°. The inequivalent atoms are Nd at (0.000, 0.000, 0.000), Sn at (0.155, 0.500, 0.189), Br at (0.080, 0.500, 0.836), Br at (0.118, 0.000, 0.753) and Br at (0.159, 0.194, 0.240).



The following is a GGA-PBE calculation of crystalline TlSeBr2Cl at its relaxed geometry, from Alexandria.

The calculation puts the total DFT energy (no corrections) at -12.757 eV per cell. The density of states at the Fermi level comes out at 0.638 states/eV/atom. For the total magnetization, the calculation gives 0.00 Bohr magnetons per cell.

The structure belongs to space group P4/mmm (No. 123); the cell edges are 5.641, 5.641 and 4.968 Å and the angles 90.00°, 90.00° and 90.00°. The inequivalent atoms are Tl at (0.000, 0.000, 0.000), Se at (0.500, 0.500, 0.500), Br at (0.000, 0.500, 0.500) and Cl at (0.500, 0.500, 0.000).



The following is a GGA-PBE calculation of crystalline MnV2S at its relaxed geometry, from Alexandria.

The calculation puts the total DFT energy (no corrections) at -95.929 eV per cell. The density of states at the Fermi level comes out at 0.830 states/eV/atom. For the total magnetization, the calculation gives 3.06 Bohr magnetons per cell.

The structure belongs to space group R-3m (No. 166, hexagonal axes); the cell edges are 3.0081, 3.0081 and 20.8318 Å and the angles 90.00°, 90.00° and 120.00°. The inequivalent atoms are Mn at (0.0000, 0.0000, 0.0000), V at (0.0000, 0.0000, 0.2481) and S at (0.0000, 0.0000, 0.5000).



The following is a GGA-PBE calculation of crystalline Si2NiSe6 at its relaxed geometry, from Alexandria.

The calculation puts the total DFT energy (no corrections) at -157.160 eV per cell. The density of states at the Fermi level comes out at 0.587 states/eV/atom. For the total magnetization, the calculation gives 0.00 Bohr magnetons per cell.

The structure belongs to space group C2/c (No. 15); the cell edges are 11.780, 11.053 and 6.355 Å and the angles 90.00°, 101.40° and 90.00°. The inequivalent atoms are Si at (0.194, 0.083, 0.342), Ni at (0.000, 0.398, 0.250), Se at (0.104, 0.422, 0.617), Se at (0.120, 0.091, 0.654) and Se at (0.132, 0.252, 0.145).



The following is a GGA-PBE calculation of crystalline NbCuSb2 at its relaxed geometry, from Alexandria.

The calculation puts the total DFT energy (no corrections) at -84.538 eV per cell. The density of states at the Fermi level comes out at 0.969 states/eV/atom. For the total magnetization, the calculation gives 3.32 Bohr magnetons per cell.

The structure belongs to space group Fm-3m (No. 225); the cell edges are 6.871, 6.871 and 6.871 Å and the angles 90.00°, 90.00° and 90.00°. The inequivalent atoms are Nb at (0.000, 0.000, 0.000), Cu at (0.000, 0.000, 0.500) and Sb at (0.250, 0.250, 0.250).



The following is a GGA-PBE calculation of crystalline Dy2TcRh at its relaxed geometry, from Alexandria.

The density of states at the Fermi level comes out at 1.329 states/eV/atom. For the total magnetization, the calculation gives 0.40 Bohr magnetons per cell. For the formation energy, the calculation gives -341 meV/atom.

The structure belongs to space group P4/mmm (No. 123); the cell edges are 3.424, 3.424 and 6.868 Å and the angles 90.00°, 90.00° and 90.00°. The inequivalent atoms are Dy at (0.000, 0.000, 0.249), Tc at (0.500, 0.500, 0.000) and Rh at (0.500, 0.500, 0.500).



The following is a GGA-PBE calculation of crystalline Nd2AlSn2Rh5 at its relaxed geometry, from Alexandria.

The density of states at the Fermi level comes out at 0.490 states/eV/atom. For the total magnetization, the calculation gives 0.00 Bohr magnetons per cell. For the formation energy, the calculation gives -567 meV/atom.

The structure belongs to space group P4/mbm (No. 127); the cell edges are 10.835, 10.835 and 3.245 Å and the angles 90.00°, 90.00° and 90.00°. The inequivalent atoms are Nd at (0.167, 0.333, 0.000), Al at (0.000, 0.000, 0.000), Sn at (0.137, 0.637, 0.000), Rh at (0.000, 0.500, 0.500) and Rh at (0.039, 0.810, 0.500).



The following is a GGA-PBE calculation of crystalline PaFe5H7 at its relaxed geometry, from Alexandria.

The calculation puts the total DFT energy (no corrections) at -149.001 eV per cell. The density of states at the Fermi level comes out at 0.627 states/eV/atom. For the total magnetization, the calculation gives 12.52 Bohr magnetons per cell.

The structure belongs to space group Cm (No. 8); the cell edges are 7.414, 7.205 and 5.201 Å and the angles 90.00°, 134.50° and 90.00°. The inequivalent atoms are Pa at (0.000, 0.000, 0.000), Fe at (0.237, 0.196, 0.763), Fe at (0.255, 0.308, 0.279), Fe at (0.496, 0.000, 0.358), H at (0.203, 0.000, 0.575), H at (0.256, 0.500, 0.108), H at (0.490, 0.000, 0.032), H at (0.491, 0.230, 0.728) and H at (0.497, 0.242, 0.305).



The following is a GGA-PBE calculation of crystalline ReSnSbI2 at its relaxed geometry, from Alexandria.

The calculation puts the total DFT energy (no corrections) at -19.769 eV per cell. The density of states at the Fermi level comes out at 1.441 states/eV/atom. For the total magnetization, the calculation gives 1.15 Bohr magnetons per cell.

The structure belongs to space group P4/mmm (No. 123); the cell edges are 5.558, 5.558 and 5.137 Å and the angles 90.00°, 90.00° and 90.00°. The inequivalent atoms are Re at (0.000, 0.000, 0.000), Sn at (0.500, 0.500, 0.500), Sb at (0.000, 0.000, 0.500) and I at (0.000, 0.500, 0.000).